PBE CsDyMn2S4, relaxed; volume = 254.9 Å³ per cell; ΔE_f (raw) = -565 kJ/mol of formula units; SG = I222
1.0
6.636 0.000 0.000
3.318 6.209 0.015
3.318 0.524 6.187
Cs Dy Mn S
1 1 2 4
Cartesian
0.000 0.000 0.000
6.636 3.367 3.101
3.318 2.653 2.443
9.953 4.080 3.759
4.967 1.331 2.987
4.967 5.402 3.216
8.304 3.086 1.082
8.304 3.647 5.120